1.
Computed, not measured: a relaxed Li2Ca2Au crystal at the PBE-GGA level of DFT.

Structure (CIF):
```
data_Li2Ca2Au
_chemical_formula_sum 'Li4 Ca4 Au2'
_cell_length_a 7.8479
_cell_length_b 7.8479
_cell_length_c 4.9769
_cell_angle_alpha 90.00
_cell_angle_beta 90.00
_cell_angle_gamma 90.00
_symmetry_space_group_name_H-M 'P 4/m b m'
_symmetry_Int_Tables_number 127
_symmetry_space_group_name_Hall '-P 4 2ab'
loop_
_atom_site_label
_atom_site_type_symbol
_atom_site_fract_x
_atom_site_fract_y
_atom_site_fract_z
Li1 Li 0.1405 0.3595 0.0000
Ca1 Ca 0.1665 0.6665 0.5000
Au1 Au 0.0000 0.0000 0.5000
```

Results
Distance to the lowest polymorph of the same formula   0.227 eV per atom

---

2.
Computed, not measured: a relaxed NiW3Br crystal at the PBE-GGA level of DFT.

Structure (CIF):
```
data_NiW3Br
_chemical_formula_sum 'Ni1 W3 Br1'
_cell_length_a 4.5695
_cell_length_b 4.5695
_cell_length_c 4.5695
_cell_angle_alpha 90.00
_cell_angle_beta 90.00
_cell_angle_gamma 90.00
_symmetry_space_group_name_H-M 'P m -3 m'
_symmetry_Int_Tables_number 221
_symmetry_space_group_name_Hall '-P 4 2 3'
loop_
_atom_site_label
_atom_site_type_symbol
_atom_site_fract_x
_atom_site_fract_y
_atom_site_fract_z
Ni1 Ni 0.0000 0.0000 0.0000
W1 W 0.0000 0.0000 0.5000
Br1 Br 0.5000 0.5000 0.5000
```

Results
Distance to the lowest polymorph of the same formula   0.000 eV per atom
Formation energy (no corrections)   2.024 eV/atom

---

3.
Computed, not measured: a relaxed LaU2N3 crystal at the PBE-GGA level of DFT.

Structure (CIF):
```
data_LaU2N3
_chemical_formula_sum 'La1 U2 N3'
_cell_length_a 5.8740
_cell_length_b 5.8740
_cell_length_c 3.2806
_cell_angle_alpha 90.00
_cell_angle_beta 90.00
_cell_angle_gamma 120.00
_symmetry_space_group_name_H-M 'P 6/m m m'
_symmetry_Int_Tables_number 191
_symmetry_space_group_name_Hall '-P 6 2'
loop_
_atom_site_label
_atom_site_type_symbol
_atom_site_fract_x
_atom_site_fract_y
_atom_site_fract_z
La1 La 0.0000 0.0000 0.0000
U1 U 0.3333 0.6667 0.5000
N1 N 0.0000 0.5000 0.0000
```

Results
Formation energy (no corrections)   -1.186 eV/atom

---

4.
Computed, not measured: a relaxed SnGeTe3 crystal at the PBE-GGA level of DFT.

Structure (CIF):
```
data_SnGeTe3
_chemical_formula_sum 'Sn1 Ge1 Te3'
_cell_length_a 5.6743
_cell_length_b 5.6743
_cell_length_c 5.6743
_cell_angle_alpha 90.00
_cell_angle_beta 90.00
_cell_angle_gamma 90.00
_symmetry_space_group_name_H-M 'P m -3 m'
_symmetry_Int_Tables_number 221
_symmetry_space_group_name_Hall '-P 4 2 3'
loop_
_atom_site_label
_atom_site_type_symbol
_atom_site_fract_x
_atom_site_fract_y
_atom_site_fract_z
Sn1 Sn 0.0000 0.0000 0.0000
Ge1 Ge 0.5000 0.5000 0.5000
Te1 Te 0.0000 0.0000 0.5000
```

Results
Formation energy (no corrections)   0.622 eV/atom

---

5.
Computed, not measured: a relaxed LiNpAu11 crystal at the PBE-GGA level of DFT.

Structure (CIF):
```
data_LiNpAu11
_chemical_formula_sum 'Li2 Np2 Au22'
_cell_length_a 5.4766
_cell_length_b 13.6699
_cell_length_c 7.1825
_cell_angle_alpha 90.00
_cell_angle_beta 112.34
_cell_angle_gamma 90.00
_symmetry_space_group_name_H-M 'C 1 2/m 1'
_symmetry_Int_Tables_number 12
_symmetry_space_group_name_Hall '-C 2y'
loop_
_atom_site_label
_atom_site_type_symbol
_atom_site_fract_x
_atom_site_fract_y
_atom_site_fract_z
Li1 Li 0.0000 0.0000 0.0000
Np1 Np 0.0000 0.5000 0.5000
Au1 Au 0.0000 0.5000 0.0000
Au2 Au 0.0969 0.1035 0.7168
Au3 Au 0.1903 0.3322 0.8551
Au4 Au 0.2500 0.2500 0.5000
```

Results
VASP energy   -4.04 eV/atom

---

6.
Computed, not measured: a relaxed Rb2Ag2Hg crystal at the PBE-GGA level of DFT.

Structure (CIF):
```
data_Rb2Ag2Hg
_chemical_formula_sum 'Rb4 Ag4 Hg2'
_cell_length_a 8.1198
_cell_length_b 8.1198
_cell_length_c 5.3095
_cell_angle_alpha 90.00
_cell_angle_beta 90.00
_cell_angle_gamma 90.00
_symmetry_space_group_name_H-M 'P 4/m b m'
_symmetry_Int_Tables_number 127
_symmetry_space_group_name_Hall '-P 4 2ab'
loop_
_atom_site_label
_atom_site_type_symbol
_atom_site_fract_x
_atom_site_fract_y
_atom_site_fract_z
Rb1 Rb 0.1788 0.3212 0.0000
Ag1 Ag 0.1230 0.6230 0.5000
Hg1 Hg 0.0000 0.0000 0.5000
```

Results
Distance to the lowest polymorph of the same formula   0.047 eV per atom

---

Calculated spin magnetization, 0.0, 0.0, 2.7, 0.0, 8.6, 0.0 μB per cell (same order as the records).